First-principles (PBE+U) data for a relaxed Cr2Cd2TcO6 crystal, as listed in the Alexandria database.

Cell: 5.2603 5.2603 6.8052 Å, 99.40 99.40 119.42°
Last column: nearest neighbours and their distance in Å.
Fractional coordinates of all 11 atoms:
Cr1 0.1664 0.8336 0.0000  6 O 2.02-2.06
Cr2 0.8336 0.1664 0.0000  6 O 2.02-2.06
Cd1 0.1851 0.8149 0.5000  4 O 2.59-2.74
Cd2 0.8149 0.1851 0.5000  4 O 2.59-2.74
Tc1 0.5000 0.5000 0.0000  6 O 2.03-2.04
O1 0.1033 0.1033 0.8344  1 Tc 2.04, 2 Cr 2.06
O2 0.2320 0.5669 0.1574  2 Cr 2.02-2.04, 1 Tc 2.03
O3 0.4331 0.7680 0.8426  2 Cr 2.02-2.04, 1 Tc 2.03
O4 0.5669 0.2320 0.1574  2 Cr 2.02-2.04, 1 Tc 2.03
O5 0.7680 0.4331 0.8426  2 Cr 2.02-2.04, 1 Tc 2.03
O6 0.8967 0.8967 0.1656  1 Tc 2.04, 2 Cr 2.06

Summary:
Calculated total energy: -6.47 eV per atom
V: 155.2 Å³/cell
SG: C2/m